# 1
This record from Alexandria describes an optimized crystal structure of TmMg2Pb. The functional is PBE.

CIF file:
```
data_TmMg2Pb
_cell_length_a 7.459
_cell_length_b 7.459
_cell_length_c 7.459
_cell_angle_alpha 90.00
_cell_angle_beta 90.00
_cell_angle_gamma 90.00
_symmetry_space_group_name_H-M 'F m -3 m'
_symmetry_Int_Tables_number 225
_symmetry_space_group_name_Hall '-F 4 2 3'
loop_
_atom_site_label
_atom_site_type_symbol
_atom_site_fract_x
_atom_site_fract_y
_atom_site_fract_z
_atom_site_occupancy
Tm1 Tm 0.000 0.000 0.000 1
Mg1 Mg 0.250 0.250 0.250 1
Pb1 Pb 0.000 0.000 0.500 1
```

Calculated total energy = -45.4 eV for the cell shown
Offset from the most stable computed form = 26.07 kJ/mol of atoms
Magnetization = 0.000 μB/atom
Formation energy = 0.006 eV per atom

=====

# 2
This record from Alexandria describes an optimized crystal structure of TmMgPb. The functional is PBE.

CIF file:
```
data_TmMgPb
_cell_length_a 3.543
_cell_length_b 3.543
_cell_length_c 12.745
_cell_angle_alpha 90.00
_cell_angle_beta 90.00
_cell_angle_gamma 90.00
_symmetry_space_group_name_H-M 'I 4 m m'
_symmetry_Int_Tables_number 107
_symmetry_space_group_name_Hall 'I 4 -2'
loop_
_atom_site_label
_atom_site_type_symbol
_atom_site_fract_x
_atom_site_fract_y
_atom_site_fract_z
_atom_site_occupancy
Tm1 Tm 0.000 0.000 0.000 1
Mg1 Mg 0.000 0.000 0.329 1
Pb1 Pb 0.000 0.000 0.677 1
```

Calculated total energy = -20.5 eV for the cell shown
Magnetization = 0.043 μB/atom
Formation energy = -0.165 eV per atom

=====

# 3
This record from Alexandria describes an optimized crystal structure of Tm2Mg2Pb7. The functional is PBE.

CIF file:
```
data_Tm2Mg2Pb7
_cell_length_a 10.279
_cell_length_b 8.674
_cell_length_c 7.813
_cell_angle_alpha 90.00
_cell_angle_beta 90.06
_cell_angle_gamma 90.00
_symmetry_space_group_name_H-M 'C 1 2/m 1'
_symmetry_Int_Tables_number 12
loop_
_symmetry_equiv_pos_as_xyz
'x,y,z'
'-x,-y,-z'
'-x,y,-z'
'x,-y,z'
'x+1/2,y+1/2,z'
'-x+1/2,-y+1/2,-z'
'-x+1/2,y+1/2,-z'
'x+1/2,-y+1/2,z'
loop_
_atom_site_label
_atom_site_type_symbol
_atom_site_fract_x
_atom_site_fract_y
_atom_site_fract_z
_atom_site_occupancy
Tm1 Tm 0.199 0.000 0.000 1
Mg1 Mg 0.000 0.328 0.500 1
Pb1 Pb 0.000 0.000 0.303 1
Pb2 Pb 0.000 0.500 0.000 1
Pb3 Pb 0.250 0.250 0.288 1
```

Calculated total energy = -75.0 eV for the cell shown
Magnetization = 0.000 μB/atom
Formation energy = 0.055 eV per atom

=====

# 4
This record from Alexandria describes an optimized crystal structure of Tm3Mg2Pb6. The functional is PBE.

CIF file:
```
data_Tm3Mg2Pb6
_cell_length_a 4.774
_cell_length_b 4.774
_cell_length_c 28.804
_cell_angle_alpha 90.00
_cell_angle_beta 90.00
_cell_angle_gamma 90.00
_symmetry_space_group_name_H-M 'I 4/m m m'
_symmetry_Int_Tables_number 139
_symmetry_space_group_name_Hall '-I 4 2'
loop_
_atom_site_label
_atom_site_type_symbol
_atom_site_fract_x
_atom_site_fract_y
_atom_site_fract_z
_atom_site_occupancy
Tm1 Tm 0.000 0.000 0.000 1
Tm2 Tm 0.000 0.000 0.156 1
Mg1 Mg 0.000 0.000 0.360 1
Pb1 Pb 0.000 0.000 0.263 1
Pb2 Pb 0.000 0.500 0.075 1
```

Calculated total energy = -80.6 eV for the cell shown
Magnetization = 0.000 μB/atom
Formation energy = -0.130 eV per atom